This record from Alexandria via LeMat-Bulk describes a relaxed SbPIr2 crystal. The functional is PBEsol.

Unit cell a=3.648 b=3.648 c=7.034 alpha=74.97 beta=74.97 gamma=60.00
Fractional coordinates of all 4 atoms:
Sb1 0.266 0.266 0.202
Ir1 0.005 0.005 0.984
P1 0.465 0.465 0.604
Ir2 0.763 0.763 0.710

Properties
Its density of states at the Fermi level is 2.93 states/eV/f.u. Its formation energy (no corrections) is 0.15 eV per atom. The value obtained for the total magnetization is 0.000 μB per formula unit.